A relaxed structure of In2CoAuF, computed with GGA+U.

Cell and atoms, written as CIF:
```
data_In2CoAuF
_chemical_formula_sum 'In2 Co1 Au1 F1'
_symmetry_space_group_name_H-M 'P 1'
_symmetry_Int_Tables_number 1
_cell_length_a 5.243
_cell_length_b 5.243
_cell_length_c 4.949
_cell_angle_alpha 90.00
_cell_angle_beta 90.00
_cell_angle_gamma 90.00
loop_
_symmetry_equiv_pos_as_xyz
'x,y,z'
loop_
_atom_site_label
_atom_site_type_symbol
_atom_site_fract_x
_atom_site_fract_y
_atom_site_fract_z
In1 In 0.000 0.500 0.000
In2 In 0.500 0.000 0.000
Co1 Co 0.000 0.000 0.500
Au1 Au 0.000 0.000 0.000
F1 F 0.500 0.500 0.500
```

E = -3.13 eV/atom
Mass density = 6.2 g/cm3
V = 27.206 Å³/atom